An optimized crystal structure of SrGe2RhO6, computed with PBE-GGA.

Properties
The value obtained for the mass density is 4.7 Mg/m³. Its space-group type is C2/c (15). The value obtained for the total DFT energy (no corrections) is -6.382 eV per atom.

Unit cell a=7.5031 b=7.5031 c=5.7819 alpha=105.39 beta=105.39 gamma=83.52
Fractional coordinates of all 20 atoms:
1 Sr 0.1171 0.8829 0.7500
2 Sr 0.8829 0.1171 0.2500
3 Ge 0.2058 0.3714 0.8598
4 Ge 0.3714 0.2058 0.3598
5 Ge 0.6286 0.7942 0.6402
6 Ge 0.7942 0.6286 0.1402
7 Rh 0.2671 0.7329 0.2500
8 Rh 0.7329 0.2671 0.7500
9 O 0.0284 0.2164 0.7042
10 O 0.1441 0.6062 0.8863
11 O 0.2164 0.0284 0.2042
12 O 0.3064 0.3860 0.1884
13 O 0.3860 0.3064 0.6884
14 O 0.3938 0.8559 0.6137
15 O 0.6062 0.1441 0.3863
16 O 0.6140 0.6936 0.3116
17 O 0.6936 0.6140 0.8116
18 O 0.7836 0.9716 0.7958
19 O 0.8559 0.3938 0.1137
20 O 0.9716 0.7836 0.2958



An optimized crystal structure of Sr2GeRhO6, computed with PBE-GGA.

Properties
The value obtained for the mass density is 6.1 Mg/m³. Its space-group type is Fm-3m (225). The value obtained for the total DFT energy (no corrections) is -6.350 eV per atom.

Unit cell a=5.5502 b=5.5502 c=5.5502 alpha=60.00 beta=60.00 gamma=60.00
Fractional coordinates of all 10 atoms:
1 Sr 0.2500 0.2500 0.2500
2 Sr 0.7500 0.7500 0.7500
3 Ge 0.0000 0.0000 0.0000
4 Rh 0.5000 0.5000 0.5000
5 O 0.2425 0.2425 0.7575
6 O 0.2425 0.7575 0.2425
7 O 0.2425 0.7575 0.7575
8 O 0.7575 0.2425 0.2425
9 O 0.7575 0.2425 0.7575
10 O 0.7575 0.7575 0.2425